(1)
Entry from OQMD: a relaxed structure of GdHoTe2As2 (GGA-PBE).

Cell lengths 4.083, 4.083, 9.083 Å; angles 90.00, 90.00, 90.00 degrees
Atoms (fractional coordinates):
Te1 0.500 0.500 0.623
Te2 0.000 0.000 0.372
As1 0.500 0.000 0.002
As2 0.000 0.500 0.002
Ho1 0.500 0.500 0.254
Gd1 0.000 0.000 0.747

Values from the calculation:
Space group: P4mm (99)
Total magnetization, μB per cell: 0.00
V, Å³ per cell: 151.44

(2)
Entry from OQMD: a relaxed structure of LaGdAsI2 (GGA-PBE).

Cell lengths 4.307, 4.307, 11.226 Å; angles 90.00, 90.00, 120.00 degrees
Atoms (fractional coordinates):
As1 0.000 0.000 0.990
Gd1 0.333 0.667 0.856
La1 0.667 0.333 0.143
I1 0.333 0.667 0.334
I2 0.667 0.333 0.678

Values from the calculation:
Space group: P3m1 (156)
Total magnetization, μB per cell: 0.00
V, Å³ per cell: 180.32

(3)
Entry from OQMD: a relaxed structure of PrGdAsI2 (GGA-PBE).

Cell lengths 4.276, 4.276, 11.157 Å; angles 90.00, 90.00, 120.00 degrees
Atoms (fractional coordinates):
Gd1 0.000 0.000 0.856
I1 0.000 0.000 0.332
I2 0.333 0.667 0.676
As1 0.667 0.333 0.992
Pr1 0.333 0.667 0.143

Values from the calculation:
Space group: P3m1 (156)
Total magnetization, μB per cell: 0.00
V, Å³ per cell: 176.68

| no. | E (eV per atom) |
| --- | --- |
| 1 | -5.286 |
| 2 | -4.999 |
| 3 | -4.932 |